Record 1
DFT (PBE-GGA) results for an optimized crystal structure of Cr2ReTe.

## Properties
As for the density of states at the Fermi level: 8.81 states/eV per cell. As for the uncorrected formation energy: 559 meV per atom. The total energy comes out at -0.59902 Ry per atom.

Unit cell a=5.4872 b=7.4468 c=3.0326 alpha=90.00 beta=90.00 gamma=90.00
Last column: nearest neighbours and their distance in Å.
Space group Cmmm (No. 65)
One atom of each set of equivalent atoms:
Cr 0.2500 0.2500 0.0000 x4  4 Cr 2.74-3.03, 4 Re 2.77, 4 Te 2.77
Re 0.0000 0.0000 0.5000 x2  2 Te 2.74, 8 Cr 2.77, 2 Re 3.03
Te 0.0000 0.5000 0.5000 x2  2 Re 2.74, 8 Cr 2.77, 2 Te 3.03

Record 2
DFT (PBE-GGA) results for an optimized crystal structure of NaIrPbCl6.

## Properties
As for the density of states at the Fermi level: 0.00 states/eV per cell. As for the uncorrected formation energy: -962 meV per atom. The total energy comes out at -0.27459 Ry per atom.

Unit cell a=6.9624 b=6.9624 c=11.7608 alpha=90.00 beta=90.00 gamma=120.00
Last column: nearest neighbours and their distance in Å.
Space group P-31c (No. 163)
One atom of each set of equivalent atoms:
Na 0.0000 0.0000 0.0000 x2  6 Cl 2.96
Ir 0.3333 0.6667 0.2500 x2  6 Cl 2.38
Pb 0.3333 0.6667 0.7500 x2  6 Cl 2.91
Cl 0.0582 0.3890 0.1312 x12  1 Ir 2.38

no.,total magnetization (Bohr magnetons per cell)
1,7.73
2,0.00